Sm3Al2GePt9 after structural relaxation. Source: Alexandria via LeMat-Bulk, functional PBE.

Unit cell a=6.5850 b=6.5850 c=8.6171 alpha=90.00 beta=90.00 gamma=120.00
Last column: nearest neighbours and their distance in Å.
Fractional positions:
1 Sm 0.3333 0.6667 0.7231  9 Pt 3.05-3.31
2 Sm 0.0000 0.0000 0.0000  6 Pt 2.89
3 Sm 0.6667 0.3333 0.2769  9 Pt 3.05-3.31
4 Al 0.3333 0.6667 0.1895  6 Pt 2.34-2.51
5 Al 0.6667 0.3333 0.8105  6 Pt 2.34-2.51
6 Ge 0.0000 0.0000 0.5000  6 Pt 2.48
7 Pt 0.8601 0.1399 0.7207  1 Al 2.34, 1 Ge 2.48
8 Pt 0.8601 0.7203 0.7207  1 Al 2.34, 1 Ge 2.48
9 Pt 0.2797 0.1399 0.7207  1 Al 2.34, 1 Ge 2.48
10 Pt 0.7203 0.8601 0.2793  1 Al 2.34, 1 Ge 2.48
11 Pt 0.1399 0.2797 0.2793  1 Al 2.34, 1 Ge 2.48
12 Pt 0.1399 0.8601 0.2793  1 Al 2.34, 1 Ge 2.48
13 Pt 0.5000 0.0000 0.0000  2 Al 2.51
14 Pt 0.0000 0.5000 0.0000  2 Al 2.51
15 Pt 0.5000 0.5000 0.0000  2 Al 2.51

Results
* calculated volume: 323.6 Å³/cell
* crystal system: trigonal
* DOS(E_F): 5.41 states/eV/f.u.
* raw total energy: -6.044 eV/atom
* total moment: 0.00 μB per cell